Below is an optimized crystal structure of BeWAu, with properties calculated at the PBE-GGA level.

Properties
Energy of formation from the pure elements = 0.3919 eV/atom
Calculated total energy = -6.260 eV per atom
M_tot = 0.000 μB per atom
D(E_F) = 1.92 states/eV per cell

a = 4.1411 Å, b = 4.1411 Å, c = 2.8963 Å
α = 90.00°, β = 90.00°, γ = 120.00°
Closest atoms and distances in Å follow each position.
Sites, in units of the cell vectors:
1 Be 0.6667 0.3333 0.1666  3 Au 2.39
2 Au 0.0000 0.0000 0.1666  3 Be 2.39
3 W 0.3333 0.6667 0.6668  6 Be 2.79-2.80, 6 Au 2.79-2.80, 2 W 2.90

***

Below is an optimized crystal structure of BeWAu, with properties calculated at the PBE-GGA level.

Properties
Energy of formation from the pure elements = 0.2023 eV/atom
Calculated total energy = -6.450 eV per atom
M_tot = 0.001 μB per atom
D(E_F) = 2.74 states/eV per cell

a = 5.6446 Å, b = 5.6439 Å, c = 2.8157 Å
α = 75.57°, β = 75.54°, γ = 28.89°
Closest atoms and distances in Å follow each position.
Sites, in units of the cell vectors:
1 Be 0.3374 0.3374 0.6626  4 Au 2.49, 4 W 2.57
2 Au 0.9789 0.9789 0.0211  4 Be 2.49
3 W 0.6836 0.6836 0.3164  4 Be 2.57, 4 W 2.82

***

Below is an optimized crystal structure of BeWAu2, with properties calculated at the PBE-GGA level.

Properties
Energy of formation from the pure elements = 0.0953 eV/atom
Calculated total energy = -5.713 eV per atom
M_tot = 0.000 μB per atom
D(E_F) = 1.57 states/eV per cell

a = 2.8409 Å, b = 2.8409 Å, c = 7.4038 Å
α = 90.00°, β = 90.00°, γ = 90.03°
Closest atoms and distances in Å follow each position.
Sites, in units of the cell vectors:
1 Be 0.0000 0.0000 0.4950  4 Au 2.46, 4 W 2.58
2 Au 0.0000 0.0000 0.9887  8 Au 2.84-3.07, 4 W 2.86
3 Au 0.5000 0.5000 0.3026  4 Be 2.46
4 W 0.5000 0.5000 0.7137  4 Be 2.58, 4 W 2.84, 4 Au 2.86

***

Below is an optimized crystal structure of BeWAu2, with properties calculated at the PBE-GGA level.

Properties
Energy of formation from the pure elements = 0.5090 eV/atom
Calculated total energy = -5.300 eV per atom
M_tot = 0.134 μB per atom
D(E_F) = 3.18 states/eV per cell

a = 4.7761 Å, b = 4.7761 Å, c = 2.8054 Å
α = 90.00°, β = 90.00°, γ = 90.00°
Closest atoms and distances in Å follow each position.
Sites, in units of the cell vectors:
1 Be 0.5000 0.0000 0.5000  8 Au 2.77, 2 Be 2.81
2 Au 0.0000 0.0000 0.0000  4 W 2.77, 4 Be 2.77, 2 Au 2.81
3 Au 0.5000 0.5000 0.0000  4 Be 2.77, 4 W 2.77, 2 Au 2.81
4 W 0.0000 0.5000 0.5000  8 Au 2.77, 2 W 2.81